# CoP2PbO8 | Alexandria | PBE with a Hubbard U | optimized geometry
data_CoP2PbO8
_chemical_formula_sum 'Co3 P6 Pb3 O24'
_symmetry_space_group_name_H-M 'R -3'
_symmetry_Int_Tables_number 148
_symmetry_space_group_name_Hall '-R 3'
_cell_length_a 4.7126
_cell_length_b 4.7126
_cell_length_c 22.4437
_cell_angle_alpha 90.00
_cell_angle_beta 90.00
_cell_angle_gamma 120.00
loop_
_atom_site_label
_atom_site_type_symbol
_atom_site_fract_x
_atom_site_fract_y
_atom_site_fract_z
_atom_site_occupancy
Co1 Co 0.0000 0.0000 0.0000 1
P1 P 0.0000 0.0000 0.2634 1
Pb1 Pb 0.0000 0.0000 0.5000 1
O1 O 0.0000 0.0000 0.1945 1
O2 O 0.0035 0.6386 0.3833 1
# total DFT energy (no corrections): -236.9 eV for the cell shown


# Co3P4PbO14 | Alexandria | PBE with a Hubbard U | optimized geometry
data_Co3P4PbO14
_chemical_formula_sum 'Co6 P8 Pb2 O28'
_symmetry_space_group_name_H-M 'P 1 21/c 1'
_symmetry_Int_Tables_number 14
_cell_length_a 7.584
_cell_length_b 7.867
_cell_length_c 9.632
_cell_angle_alpha 90.00
_cell_angle_beta 112.15
_cell_angle_gamma 90.00
loop_
_symmetry_equiv_pos_as_xyz
'x,y,z'
'-x,-y,-z'
'-x,y+1/2,-z+1/2'
'x,-y+1/2,z+1/2'
loop_
_atom_site_label
_atom_site_type_symbol
_atom_site_fract_x
_atom_site_fract_y
_atom_site_fract_z
_atom_site_occupancy
Co1 Co 0.000 0.000 0.000 1
Co2 Co 0.185 0.124 0.525 1
P1 P 0.109 0.703 0.806 1
P2 P 0.394 0.054 0.298 1
Pb1 Pb 0.500 0.000 0.000 1
O1 O 0.002 0.210 0.865 1
O2 O 0.026 0.578 0.887 1
O3 O 0.152 0.625 0.386 1
O4 O 0.270 0.114 0.136 1
O5 O 0.314 0.630 0.821 1
O6 O 0.375 0.173 0.417 1
O7 O 0.404 0.514 0.192 1
# total DFT energy (no corrections): -303.5 eV for the cell shown


# CoP2PbO7 | Alexandria | PBE with a Hubbard U | optimized geometry
data_CoP2PbO7
_chemical_formula_sum 'Co4 P8 Pb4 O28'
_symmetry_space_group_name_H-M 'P 1 21/c 1'
_symmetry_Int_Tables_number 14
_cell_length_a 5.425
_cell_length_b 8.403
_cell_length_c 14.117
_cell_angle_alpha 90.00
_cell_angle_beta 112.58
_cell_angle_gamma 90.00
loop_
_symmetry_equiv_pos_as_xyz
'x,y,z'
'-x,-y,-z'
'-x,y+1/2,-z+1/2'
'x,-y+1/2,z+1/2'
loop_
_atom_site_label
_atom_site_type_symbol
_atom_site_fract_x
_atom_site_fract_y
_atom_site_fract_z
_atom_site_occupancy
Co1 Co 0.213 0.150 0.395 1
P1 P 0.080 0.536 0.332 1
P2 P 0.168 0.701 0.980 1
Pb1 Pb 0.486 0.673 0.777 1
O1 O 0.022 0.139 0.846 1
O2 O 0.113 0.170 0.521 1
O3 O 0.171 0.615 0.445 1
O4 O 0.180 0.118 0.239 1
O5 O 0.227 0.596 0.902 1
O6 O 0.308 0.560 0.295 1
O7 O 0.395 0.694 0.087 1
# total DFT energy (no corrections): -302.2 eV for the cell shown


# Co2PPbO8 | Alexandria | PBE with a Hubbard U | optimized geometry
data_Co2PPbO8
_chemical_formula_sum 'Co2 P1 Pb1 O8'
_symmetry_space_group_name_H-M 'P -3'
_symmetry_Int_Tables_number 147
_cell_length_a 5.0122
_cell_length_b 5.0122
_cell_length_c 6.9522
_cell_angle_alpha 90.00
_cell_angle_beta 90.00
_cell_angle_gamma 120.00
loop_
_symmetry_equiv_pos_as_xyz
'x,y,z'
'-x,-y,-z'
'-y,x-y,z'
'y,-x+y,-z'
'-x+y,-x,z'
'x-y,x,-z'
loop_
_atom_site_label
_atom_site_type_symbol
_atom_site_fract_x
_atom_site_fract_y
_atom_site_fract_z
_atom_site_occupancy
Co1 Co 0.3333 0.6667 0.2088 1
P1 P 0.0000 0.0000 0.0000 1
Pb1 Pb 0.0000 0.0000 0.5000 1
O1 O 0.0262 0.2852 0.1455 1
O2 O 0.3333 0.6667 0.4571 1
# total DFT energy (no corrections): -69.6 eV for the cell shown